# 1
First-principles (PBE) data for SmTaNbGe2 after structural relaxation, as listed in Alexandria.

Cell: 4.071 4.071 6.718 Å, 107.64 107.64 90.00°
Positions (direct):
Ge: 0.604 0.604 0.208
Sm: 0.000 0.000 0.000
Ge: 0.396 0.396 0.792
Nb: 0.250 0.750 0.500
Ta: 0.750 0.250 0.500

Computed properties:
Formation enthalpy at 0 K in kJ per mole of atoms: -55.1
Space-group type: I-4m2, No. 119
E_tot in eV/atom: -7.746
Magnetic moment in μB/f.u.: 0.0
Theoretical density in kg/m³: 9401

# 2
First-principles (PBE) data for SmTiNbGe2 after structural relaxation, as listed in Alexandria.

Cell: 4.056 4.056 6.690 Å, 107.64 107.64 90.00°
Positions (direct):
Nb: 0.750 0.250 0.500
Ge: 0.605 0.605 0.211
Sm: 0.000 0.000 0.000
Ge: 0.395 0.395 0.789
Ti: 0.250 0.750 0.500

Computed properties:
Formation enthalpy at 0 K in kJ per mole of atoms: -63.0
Space-group type: I-4m2, No. 119
E_tot in eV/atom: -7.036
Magnetic moment in μB/f.u.: 0.0
Theoretical density in kg/m³: 7288

# 3
First-principles (PBE) data for Nb2SnGe2 after structural relaxation, as listed in Alexandria.

Cell: 7.264 7.264 3.481 Å, 90.00 90.00 90.00°
Positions (direct):
Sn: 0.000 0.000 0.000
Ge: 0.371 0.871 0.000
Nb: 0.835 0.335 0.500
Ge: 0.129 0.371 0.000
Nb: 0.665 0.835 0.500
Nb: 0.335 0.165 0.500
Sn: 0.500 0.500 0.000
Ge: 0.629 0.129 0.000
Ge: 0.871 0.629 0.000
Nb: 0.165 0.665 0.500

Computed properties:
Formation enthalpy at 0 K in kJ per mole of atoms: -0.9
Space-group type: P4/mbm, No. 127
E_tot in eV/atom: -6.685
Magnetic moment in μB/f.u.: 0.0
Distance to the lowest polymorph of the same formula in kcal/mol of atoms: 2.979
Theoretical density in kg/m³: 8132

# 4
First-principles (PBE) data for Nb4SnGe after structural relaxation, as listed in Alexandria.

Cell: 5.208 6.624 7.463 Å, 99.37 110.42 90.00°
Positions (direct):
Nb: 0.533 0.586 0.856
Nb: 0.677 0.914 0.144
Nb: 0.347 0.110 0.348
Nb: 0.323 0.086 0.856
Nb: 0.001 0.610 0.348
Nb: 0.653 0.890 0.652
Ge: 0.500 0.500 0.500
Nb: 0.467 0.414 0.144
Sn: 0.107 0.750 0.000
Nb: 0.999 0.390 0.652
Sn: 0.893 0.250 0.000
Ge: 0.000 0.000 0.500

Computed properties:
Formation enthalpy at 0 K in kJ per mole of atoms: 7.7
Space-group type: C2/c, No. 15
E_tot in eV/atom: -8.070
Magnetic moment in μB/f.u.: 0.0
Theoretical density in kg/m³: 7869

# 5
First-principles (PBE) data for Nb2SnGe2 after structural relaxation, as listed in Alexandria.

Cell: 7.338 7.338 3.511 Å, 90.00 90.00 90.00°
Positions (direct):
Nb: 0.145 0.355 0.000
Nb: 0.355 0.855 0.000
Ge: 0.854 0.354 0.500
Sn: 0.500 0.500 0.000
Nb: 0.855 0.645 0.000
Sn: 0.000 0.000 0.000
Ge: 0.146 0.646 0.500
Nb: 0.645 0.145 0.000
Ge: 0.354 0.146 0.500
Ge: 0.646 0.854 0.500

Computed properties:
Formation enthalpy at 0 K in kJ per mole of atoms: -13.4
Space-group type: P4/mbm, No. 127
E_tot in eV/atom: -6.814
Magnetic moment in μB/f.u.: 0.0
Distance to the lowest polymorph of the same formula in kcal/mol of atoms: 0.000
Theoretical density in kg/m³: 7902

# 6
First-principles (PBE) data for Nb3SnGe after structural relaxation, as listed in Alexandria.

Cell: 7.704 7.704 9.981 Å, 81.06 81.06 39.79°
Positions (direct):
Nb: 0.730 0.670 0.223
Ge: 0.498 0.502 0.750
Nb: 0.330 0.270 0.277
Ge: 0.000 0.500 0.500
Nb: 0.803 0.317 0.476
Sn: 0.608 0.102 0.529
Nb: 0.915 0.898 0.274
Nb: 0.197 0.683 0.524
Nb: 0.670 0.730 0.723
Nb: 0.102 0.085 0.226
Sn: 0.898 0.392 0.971
Ge: 0.502 0.498 0.250
Nb: 0.270 0.330 0.777
Nb: 0.683 0.197 0.024
Nb: 0.898 0.915 0.774
Nb: 0.085 0.102 0.726
Sn: 0.102 0.608 0.029
Sn: 0.392 0.898 0.471
Nb: 0.317 0.803 0.976
Ge: 0.500 0.000 0.000

Computed properties:
Formation enthalpy at 0 K in kJ per mole of atoms: -8.5
Space-group type: C2/c, No. 15
E_tot in eV/atom: -7.854
Magnetic moment in μB/f.u.: 0.0
Distance to the lowest polymorph of the same formula in kcal/mol of atoms: 0.000
Theoretical density in kg/m³: 8350

# 7
First-principles (PBE) data for Nb8Sn2Ge after structural relaxation, as listed in Alexandria.

Cell: 4.865 5.300 8.345 Å, 94.65 106.95 90.00°
Positions (direct):
Nb: 0.956 0.746 0.911
Nb: 0.413 0.478 0.827
Nb: 0.233 0.338 0.467
Ge: 0.500 0.000 0.000
Nb: 0.328 0.901 0.656
Nb: 0.672 0.099 0.344
Nb: 0.587 0.522 0.173
Nb: 0.044 0.254 0.089
Nb: 0.767 0.662 0.533
Sn: 0.854 0.207 0.707
Sn: 0.146 0.793 0.293

Computed properties:
Formation enthalpy at 0 K in kJ per mole of atoms: -16.4
Space-group type: C2/m, No. 12
E_tot in eV/atom: -8.641
Magnetic moment in μB/f.u.: 0.0
Theoretical density in kg/m³: 8528

# 8
First-principles (PBE) data for Nb3SnGe after structural relaxation, as listed in Alexandria.

Cell: 4.784 4.784 4.784 Å, 90.00 90.00 90.00°
Positions (direct):
Sn: 0.500 0.500 0.500
Ge: 0.000 0.000 0.000
Nb: 0.500 0.000 0.000
Nb: 0.000 0.000 0.500
Nb: 0.000 0.500 0.000

Computed properties:
Formation enthalpy at 0 K in kJ per mole of atoms: 65.8
Space-group type: Pm-3m, No. 221
E_tot in eV/atom: -7.084
Magnetic moment in μB/f.u.: 0.0
Distance to the lowest polymorph of the same formula in kcal/mol of atoms: 17.764
Theoretical density in kg/m³: 7129

# 9
First-principles (PBE) data for Nb5Sn2Ge2 after structural relaxation, as listed in Alexandria.

Cell: 6.967 6.890 7.944 Å, 90.00 63.99 90.00°
Positions (direct):
Nb: 0.215 0.174 0.240
Nb: 0.500 0.500 0.000
Sn: 0.285 0.500 0.431
Ge: 0.369 0.872 0.000
Sn: 0.785 0.000 0.431
Nb: 0.000 0.000 0.000
Sn: 0.215 0.000 0.569
Nb: 0.785 0.826 0.760
Sn: 0.715 0.500 0.569
Nb: 0.545 0.826 0.240
Ge: 0.869 0.628 0.000
Nb: 0.955 0.326 0.760
Ge: 0.631 0.128 0.000
Nb: 0.715 0.326 0.240
Nb: 0.285 0.674 0.760
Ge: 0.131 0.372 0.000
Nb: 0.045 0.674 0.240
Nb: 0.455 0.174 0.760

Computed properties:
Formation enthalpy at 0 K in kJ per mole of atoms: -23.4
Space-group type: Cmce, No. 64
E_tot in eV/atom: -7.752
Magnetic moment in μB/f.u.: 0.0
Theoretical density in kg/m³: 8211

# 10
First-principles (PBE) data for Nb10Sn3Ge3 after structural relaxation, as listed in Alexandria.

Cell: 10.560 7.943 7.881 Å, 83.72 48.39 47.89°
Positions (direct):
Ge: 0.248 0.252 0.248
Nb: 0.936 0.724 0.276
Ge: 0.169 0.831 0.169
Sn: 0.330 0.332 0.668
Nb: 0.215 0.579 0.421
Nb: 0.276 0.064 0.936
Nb: 0.256 0.744 0.759
Sn: 0.835 0.165 0.835
Ge: 0.748 0.752 0.748
Nb: 0.575 0.221 0.779
Nb: 0.759 0.241 0.256
Nb: 0.421 0.785 0.215
Sn: 0.668 0.670 0.330
Nb: 0.779 0.425 0.575
Nb: 0.716 0.931 0.069
Nb: 0.069 0.284 0.716

Computed properties:
Formation enthalpy at 0 K in kJ per mole of atoms: -32.1
Space-group type: Fmm2, No. 42
E_tot in eV/atom: -8.242
Magnetic moment in μB/f.u.: 0.0
Theoretical density in kg/m³: 8556

- The lowest E_tot belongs to which entry?
  Nb8Sn2Ge

Copy entry 9 word for word.
First-principles (PBE) data for Nb5Sn2Ge2 after structural relaxation, as listed in Alexandria.

Cell: 6.967 6.890 7.944 Å, 90.00 63.99 90.00°
Positions (direct):
Nb: 0.215 0.174 0.240
Nb: 0.500 0.500 0.000
Sn: 0.285 0.500 0.431
Ge: 0.369 0.872 0.000
Sn: 0.785 0.000 0.431
Nb: 0.000 0.000 0.000
Sn: 0.215 0.000 0.569
Nb: 0.785 0.826 0.760
Sn: 0.715 0.500 0.569
Nb: 0.545 0.826 0.240
Ge: 0.869 0.628 0.000
Nb: 0.955 0.326 0.760
Ge: 0.631 0.128 0.000
Nb: 0.715 0.326 0.240
Nb: 0.285 0.674 0.760
Ge: 0.131 0.372 0.000
Nb: 0.045 0.674 0.240
Nb: 0.455 0.174 0.760

Computed properties:
Formation enthalpy at 0 K in kJ per mole of atoms: -23.4
Space-group type: Cmce, No. 64
E_tot in eV/atom: -7.752
Magnetic moment in μB/f.u.: 0.0
Theoretical density in kg/m³: 8211

- The lowest theoretical density belongs to which entry?
  number 8